A relaxed Tc7Mo2Os2 crystal, computed with PBE.

Computed properties:
- Space-group type: No. 15
- Energy of formation: 0.25 eV per atom
- Density of states at the Fermi level: 0.795 states/eV/atom

Cell and atoms, written as CIF:
```
data_Tc7Mo2Os2
_cell_length_a 7.323
_cell_length_b 7.323
_cell_length_c 7.807
_cell_angle_alpha 94.36
_cell_angle_beta 94.36
_cell_angle_gamma 124.86
_symmetry_space_group_name_H-M 'P 1'
_symmetry_Int_Tables_number 1
loop_
_symmetry_equiv_pos_as_xyz
'x,y,z'
loop_
_atom_site_label
_atom_site_fract_x
_atom_site_fract_y
_atom_site_fract_z
Tc1 0.073 0.927 0.750
Tc2 0.107 0.283 0.613
Tc3 0.206 0.690 0.555
Tc4 0.283 0.107 0.113
Tc5 0.310 0.794 0.945
Tc6 0.368 0.477 0.377
Tc7 0.477 0.368 0.877
Tc8 0.523 0.632 0.123
Tc9 0.632 0.523 0.623
Tc10 0.690 0.206 0.055
Tc11 0.717 0.893 0.887
Tc12 0.794 0.310 0.445
Tc13 0.893 0.717 0.387
Tc14 0.927 0.073 0.250
Mo1 0.075 0.529 0.205
Mo2 0.471 0.925 0.295
Mo3 0.529 0.075 0.705
Mo4 0.925 0.471 0.795
Os1 0.095 0.285 0.948
Os2 0.285 0.095 0.448
Os3 0.715 0.905 0.552
Os4 0.905 0.715 0.052
```